Record 1
The following is a DFT calculation (GGA-PBE) of crystalline Co2Ir at its relaxed geometry.

a = 4.905 Å, b = 4.905 Å, c = 9.817 Å
α = 140.16°, β = 140.16°, γ = 31.22°
Fractional coordinates of all 6 atoms:
1 Co 0.987 0.987 0.987
2 Co 0.113 0.113 0.721
3 Co 0.331 0.331 0.667
4 Co 0.457 0.457 0.402
5 Ir 0.674 0.674 0.337
6 Ir 0.771 0.771 0.052

Mass density, g cm⁻³: 13.9
Spin magnetization, μB/atom: 1.21
V, Å³/f.u.: 36.9
Crystal system: monoclinic
Energy relative to the elements, eV/atom: 0.024
Energy relative to the lowest polymorph listed for this composition, meV/atom: 6
Space group: C2/m



Record 2
The following is a DFT calculation (GGA-PBE) of crystalline AcDyHgPb at its relaxed geometry.

a = 5.594 Å, b = 5.594 Å, c = 5.594 Å
α = 60.00°, β = 60.00°, γ = 60.00°
Fractional coordinates of all 4 atoms:
1 Pb 0.250 0.250 0.250
2 Ac 0.000 0.000 0.000
3 Hg 0.750 0.750 0.750
4 Dy 0.500 0.500 0.500

Mass density, g cm⁻³: 10.7
Spin magnetization, μB/atom: 0.00
V, Å³/f.u.: 123.8
Crystal system: cubic
Energy relative to the elements, eV/atom: -0.427
Space group: F-43m



Record 3
The following is a DFT calculation (GGA-PBE) of crystalline Li2HgAs at its relaxed geometry.

a = 8.796 Å, b = 8.796 Å, c = 8.796 Å
α = 20.84°, β = 20.84°, γ = 20.84°
Fractional coordinates of all 4 atoms:
1 As 0.250 0.250 0.250
2 Hg 0.750 0.750 0.750
3 Li 0.989 0.989 0.989
4 Li 0.511 0.511 0.511

Mass density, g cm⁻³: 6.4
Spin magnetization, μB/atom: 0.00
V, Å³/f.u.: 75.4
Crystal system: trigonal
Energy relative to the elements, eV/atom: -0.338
Space group: R-3m



Record 4
The following is a DFT calculation (GGA-PBE) of crystalline Li6Tl3Hg2 at its relaxed geometry.

a = 4.192 Å, b = 4.192 Å, c = 14.099 Å
α = 98.55°, β = 98.55°, γ = 90.00°
Fractional coordinates of all 11 atoms:
1 Li 0.118 0.618 0.235
2 Li 0.618 0.118 0.235
3 Li 0.882 0.382 0.765
4 Li 0.382 0.882 0.765
5 Li 0.700 0.700 0.400
6 Li 0.300 0.300 0.600
7 Tl 0.000 0.000 0.000
8 Tl 0.801 0.801 0.603
9 Tl 0.199 0.199 0.397
10 Hg 0.445 0.445 0.890
11 Hg 0.555 0.555 0.110

Mass density, g cm⁻³: 7.2
Spin magnetization, μB/atom: 0.00
V, Å³/f.u.: 242.3
Crystal system: tetragonal
Energy relative to the elements, eV/atom: -0.137
Space group: I4/mmm



Record 5
The following is a DFT calculation (GGA-PBE) of crystalline ReNi2Os at its relaxed geometry.

a = 8.563 Å, b = 8.563 Å, c = 8.563 Å
α = 18.08°, β = 18.08°, γ = 18.08°
Fractional coordinates of all 4 atoms:
1 Ni 0.002 0.002 0.002
2 Ni 0.747 0.747 0.747
3 Os 0.499 0.499 0.499
4 Re 0.251 0.251 0.251

Mass density, g cm⁻³: 15.5
Spin magnetization, μB/atom: 0.15
V, Å³/f.u.: 52.8
Crystal system: trigonal
Energy relative to the elements, eV/atom: 0.117
Energy relative to the lowest polymorph listed for this composition, meV/atom: 108
Space group: R3m



Record 6
The following is a DFT calculation (GGA-PBE) of crystalline CdBRh3 at its relaxed geometry.

a = 8.692 Å, b = 2.965 Å, c = 5.767 Å
α = 90.00°, β = 70.58°, γ = 90.00°
Fractional coordinates of all 10 atoms:
1 B 0.825 0.633 0.373
2 B 0.104 0.133 0.968
3 Rh 0.356 0.133 0.850
4 Rh 0.843 0.133 0.616
5 Rh 0.573 0.633 0.491
6 Rh 0.835 0.133 0.109
7 Rh 0.093 0.633 0.232
8 Rh 0.086 0.633 0.725
9 Cd 0.598 0.633 0.975
10 Cd 0.331 0.133 0.366

Mass density, g cm⁻³: 10.2
Spin magnetization, μB/atom: 0.00
V, Å³/f.u.: 70.1
Crystal system: monoclinic
Energy relative to the elements, eV/atom: -0.211
Energy relative to the lowest polymorph listed for this composition, meV/atom: 0
Space group: P2_1/m



Record 7
The following is a DFT calculation (GGA-PBE) of crystalline AcPaSiN4 at its relaxed geometry.

a = 5.585 Å, b = 5.630 Å, c = 7.107 Å
α = 90.00°, β = 107.54°, γ = 90.00°
Fractional coordinates of all 14 atoms:
1 Ac 0.714 0.750 0.923
2 Ac 0.286 0.250 0.077
3 Pa 0.780 0.750 0.452
4 Pa 0.220 0.250 0.548
5 Si 0.242 0.750 0.323
6 Si 0.758 0.250 0.677
7 N 0.964 0.490 0.708
8 N 0.036 0.990 0.292
9 N 0.036 0.510 0.292
10 N 0.964 0.010 0.708
11 N 0.435 0.750 0.168
12 N 0.565 0.250 0.832
13 N 0.449 0.750 0.565
14 N 0.551 0.250 0.435

Mass density, g cm⁻³: 8.5
Spin magnetization, μB/atom: 0.00
V, Å³/f.u.: 106.5
Formation energy (no corrections), eV per atom: -1.3252
Crystal system: monoclinic
Space group: P2_1/m



Record 8
The following is a DFT calculation (GGA-PBE) of crystalline SmB2IrRh at its relaxed geometry.

a = 3.862 Å, b = 3.862 Å, c = 5.613 Å
α = 110.12°, β = 110.12°, γ = 90.00°
Fractional coordinates of all 5 atoms:
1 Sm 0.000 0.000 0.000
2 B 0.651 0.651 0.302
3 B 0.349 0.349 0.698
4 Ir 0.250 0.750 0.500
5 Rh 0.750 0.250 0.500

Mass density, g cm⁻³: 10.6
Spin magnetization, μB/atom: 0.00
V, Å³/f.u.: 73.1
Crystal system: tetragonal
Energy relative to the elements, eV/atom: -0.663
Space group: I-4m2



Record 9
The following is a DFT calculation (GGA-PBE) of crystalline Al2HRuPt at its relaxed geometry.

a = 4.141 Å, b = 4.141 Å, c = 3.442 Å
α = 90.00°, β = 90.00°, γ = 90.00°
Fractional coordinates of all 5 atoms:
1 Ru 0.000 0.000 0.500
2 Al 0.000 0.500 0.000
3 Al 0.500 0.000 0.000
4 Pt 0.500 0.500 0.500
5 H 0.000 0.000 0.000

Mass density, g cm⁻³: 9.9
Spin magnetization, μB/atom: 0.00
V, Å³/f.u.: 59.0
Crystal system: tetragonal
Space group: P4/mmm
Calculated total energy, eV/atom: -5.82



Record 10
The following is a DFT calculation (GGA-PBE) of crystalline Ti2AlO at its relaxed geometry.

a = 2.919 Å, b = 2.919 Å, c = 7.349 Å
α = 78.55°, β = 78.55°, γ = 60.00°
Fractional coordinates of all 4 atoms:
1 Al 0.500 0.500 0.500
2 O 0.000 0.000 0.000
3 Ti 0.272 0.272 0.184
4 Ti 0.728 0.728 0.816

Mass density, g cm⁻³: 4.4
Spin magnetization, μB/atom: 0.00
V, Å³/f.u.: 52.8
Formation energy (no corrections), eV per atom: -1.3826
Crystal system: trigonal
Energy relative to the lowest polymorph listed for this composition, meV/atom: 71
Space group: R-3m



Record 11
The following is a DFT calculation (GGA-PBE) of crystalline Pm2Nd5Er at its relaxed geometry.

a = 5.157 Å, b = 7.298 Å, c = 14.626 Å
α = 90.00°, β = 90.00°, γ = 90.00°
Fractional coordinates of all 16 atoms:
1 Pm 0.500 0.250 0.624
2 Pm 0.500 0.750 0.376
3 Pm 0.500 0.250 0.124
4 Pm 0.500 0.750 0.876
5 Nd 0.000 0.000 0.000
6 Nd 0.000 0.500 0.500
7 Nd 0.000 0.500 0.752
8 Nd 0.000 0.500 0.248
9 Nd 0.000 0.000 0.252
10 Nd 0.000 0.000 0.748
11 Nd 0.500 0.251 0.876
12 Nd 0.500 0.749 0.124
13 Nd 0.500 0.249 0.376
14 Nd 0.500 0.751 0.624
15 Er 0.000 0.000 0.500
16 Er 0.000 0.500 0.000

Mass density, g cm⁻³: 7.1
Spin magnetization, μB/atom: 0.00
V, Å³/f.u.: 275.2
Crystal system: orthorhombic
Energy relative to the elements, eV/atom: 0.015
Space group: Pbam



Record 12
The following is a DFT calculation (GGA-PBE) of crystalline BeZnBr2 at its relaxed geometry.

a = 3.283 Å, b = 4.566 Å, c = 9.072 Å
α = 82.51°, β = 90.00°, γ = 90.00°
Fractional coordinates of all 4 atoms:
1 Be 0.500 0.750 0.750
2 Zn 0.500 0.250 0.250
3 Br 0.000 0.858 0.909
4 Br 0.000 0.642 0.591

Mass density, g cm⁻³: 2.9
Spin magnetization, μB/atom: 0.00
V, Å³/f.u.: 134.8
Formation energy (no corrections), eV per atom: -0.2562
Crystal system: monoclinic
Energy relative to the lowest polymorph listed for this composition, meV/atom: 100
Space group: P2/m



> Which of these has the highest mass density?

ReNi2Os